No. 1
Ba4PdPt3 PBE optimized geometry; N(E_F) = 0.216 states/eV/atom; formation energy = -0.6826 eV/atom; space group = No. 25; total magnetization = 0.00 μB per cell
1.0
4.468 0.000 0.000
0.000 4.684 0.000
0.000 0.000 11.752
Ba Pd Pt
4 1 3
Direct
0.000 0.000 0.000 Ba
0.000 0.500 0.276 Ba
0.500 0.000 0.493 Ba
0.500 0.500 0.776 Ba
0.000 0.000 0.703 Pd
0.000 0.500 0.567 Pt
0.500 0.000 0.208 Pt
0.500 0.500 0.066 Pt



No. 2
Ba2PdPt3 PBE optimized geometry; N(E_F) = 0.333 states/eV/atom; formation energy = -0.7067 eV/atom; space group = No. 166; total magnetization = 0.00 μB per cell
1.0
2.838 1.638 4.725
-2.838 1.638 4.725
0.000 -3.277 4.725
Ba Pd Pt
2 1 3
Direct
0.124 0.124 0.124 Ba
0.876 0.876 0.876 Ba
0.500 0.500 0.500 Pd
0.000 0.500 0.500 Pt
0.500 0.000 0.500 Pt
0.500 0.500 0.000 Pt



No. 3
Ba6PdPt2 PBE optimized geometry; N(E_F) = 0.520 states/eV/atom; formation energy = -0.5685 eV/atom; space group = No. 162; total magnetization = 0.00 μB per cell
1.0
8.040 0.000 0.000
-4.020 6.963 0.000
0.000 0.000 7.473
Ba Pd Pt
6 1 2
Direct
0.000 0.337 0.273 Ba
0.000 0.663 0.727 Ba
0.337 0.000 0.273 Ba
0.337 0.337 0.727 Ba
0.663 0.000 0.727 Ba
0.663 0.663 0.273 Ba
0.000 0.000 0.500 Pd
0.333 0.667 0.500 Pt
0.667 0.333 0.500 Pt



No. 4
Ba8PdPt4 PBE optimized geometry; N(E_F) = 0.608 states/eV/atom; formation energy = -0.6075 eV/atom; space group = No. 8; total magnetization = 0.00 μB per cell
1.0
9.231 -2.430 0.000
9.231 2.430 0.000
-5.624 0.000 11.419
Ba Pd Pt
8 1 4
Direct
0.000 0.000 0.000 Ba
0.161 0.161 0.371 Ba
0.289 0.289 0.743 Ba
0.364 0.364 0.096 Ba
0.510 0.510 0.410 Ba
0.615 0.615 0.764 Ba
0.722 0.722 0.158 Ba
0.881 0.881 0.523 Ba
0.700 0.700 0.570 Pd
0.090 0.090 0.583 Pt
0.319 0.319 0.328 Pt
0.558 0.558 0.183 Pt
0.807 0.807 0.927 Pt